# 1
Density functional theory data (PBE) for a relaxed structure of CsIn2Pb.

Lattice parameters (Å, degrees): 5.1129 5.1129 22.2193 90.00 90.00 120.00
Space group R-3m (No. 166, hexagonal axes)
Asymmetric unit:
Cs 0.0000 0.0000 0.0000 (multiplicity 3)
In 0.0000 0.0000 0.2172 (multiplicity 6)
Pb 0.0000 0.0000 0.5000 (multiplicity 3)

Total moment: 0.0 μB/f.u.
Calculated formation energy: -0.04 eV/atom
VASP energy: -30.6 eV/cell
Density of states at the Fermi level: 8.157 states/eV per cell

# 2
Density functional theory data (PBE) for a relaxed structure of Cd4Ag.

Lattice parameters (Å, degrees): 3.247 4.337 15.018 90.00 90.00 90.00
Space group Immm (No. 71)
Asymmetric unit:
Cd 0.000 0.000 0.097 (multiplicity 4)
Cd 0.000 0.000 0.302 (multiplicity 4)
Ag 0.000 0.000 0.500 (multiplicity 2)

Total moment: 0.0 μB/f.u.
Calculated formation energy: 0.00 eV/atom
VASP energy: -13.0 eV/cell
Polymorph energy (0 for the lowest one): 1 meV per atom
Density of states at the Fermi level: 2.650 states/eV per cell

# 3
Density functional theory data (PBE) for a relaxed structure of BaSr3Cd.

Lattice parameters (Å, degrees): 6.476 6.476 6.476 90.00 90.00 90.00
Space group Pm-3m (No. 221)
Asymmetric unit:
Ba 0.000 0.000 0.000 (multiplicity 1)
Sr 0.000 0.500 0.500 (multiplicity 3)
Cd 0.500 0.500 0.500 (multiplicity 1)

Total moment: 0.0 μB/f.u.
Calculated formation energy: -0.04 eV/atom
VASP energy: -8.1 eV/cell
Polymorph energy (0 for the lowest one): 78 meV per atom
Density of states at the Fermi level: 8.762 states/eV per cell

# 4
Density functional theory data (PBE) for a relaxed structure of BeRuPt.

Lattice parameters (Å, degrees): 2.778 2.778 9.632 90.00 90.00 90.00
Space group I4mm (No. 107)
Asymmetric unit:
Be 0.000 0.000 0.000 (multiplicity 2)
Ru 0.000 0.000 0.355 (multiplicity 2)
Pt 0.000 0.000 0.647 (multiplicity 2)

Total moment: 0.0 μB/f.u.
Calculated formation energy: -0.28 eV/atom
VASP energy: -39.8 eV/cell
Polymorph energy (0 for the lowest one): 0 meV per atom
Density of states at the Fermi level: 5.431 states/eV per cell

# 5
Density functional theory data (PBE) for a relaxed structure of RbLiHPd2.

Lattice parameters (Å, degrees): 5.373 5.373 4.625 90.00 90.00 90.00
Space group P4/mmm (No. 123)
Asymmetric unit:
Rb 0.000 0.000 0.000 (multiplicity 1)
Li 0.500 0.500 0.500 (multiplicity 1)
H 0.000 0.000 0.500 (multiplicity 1)
Pd 0.000 0.500 0.000 (multiplicity 2)

Total moment: 0.3 μB/f.u.
VASP energy: -11.0 eV/cell
Density of states at the Fermi level: 3.291 states/eV per cell

# 6
Density functional theory data (PBE) for a relaxed structure of Ba2LiFeTe.

Lattice parameters (Å, degrees): 5.839 5.839 4.871 90.00 90.00 90.00
Space group P4/mmm (No. 123)
Asymmetric unit:
Ba 0.000 0.500 0.000 (multiplicity 2)
Li 0.000 0.000 0.500 (multiplicity 1)
Fe 0.000 0.000 0.000 (multiplicity 1)
Te 0.500 0.500 0.500 (multiplicity 1)

Total moment: 1.4 μB/f.u.
Formation energy without anion corrections: -96 meV/atom
VASP energy: -17.8 eV/cell
Density of states at the Fermi level: 6.290 states/eV per cell

# 7
Density functional theory data (PBE) for a relaxed structure of AlCoI2.

Lattice parameters (Å, degrees): 7.821 7.821 7.764 90.00 90.00 90.00
Space group I-42d (No. 122)
Asymmetric unit:
Al 0.000 0.000 0.000 (multiplicity 4)
Co 0.000 0.000 0.500 (multiplicity 4)
I 0.174 0.750 0.625 (multiplicity 8)

Total moment: 2.0 μB/f.u.
Formation energy without anion corrections: 320 meV/atom
VASP energy: -50.7 eV/cell
Polymorph energy (0 for the lowest one): 0 meV per atom
Density of states at the Fermi level: 8.620 states/eV per cell

# 8
Density functional theory data (PBE) for a relaxed structure of Be4C23.

Lattice parameters (Å, degrees): 6.873 6.873 6.873 90.00 90.00 90.00
Space group Pm-3n (No. 223)
Asymmetric unit:
Be 0.000 0.000 0.000 (multiplicity 2)
Be 0.000 0.250 0.500 (multiplicity 6)
C 0.000 0.304 0.122 (multiplicity 24)
C 0.000 0.500 0.250 (multiplicity 6)
C 0.184 0.184 0.184 (multiplicity 16)

Total moment: 0.0 μB/f.u.
Calculated formation energy: 1.11 eV/atom
VASP energy: -394.0 eV/cell
Density of states at the Fermi level: 12.056 states/eV per cell

# 9
Density functional theory data (PBE) for a relaxed structure of MgBi.

Lattice parameters (Å, degrees): 6.717 6.717 6.717 90.00 90.00 90.00
Space group F-43m (No. 216)
Asymmetric unit:
Mg 0.000 0.000 0.000 (multiplicity 4)
Bi 0.250 0.250 0.750 (multiplicity 4)

Total moment: 0.0 μB/f.u.
Calculated formation energy: 0.18 eV/atom
VASP energy: -20.5 eV/cell
Density of states at the Fermi level: 10.324 states/eV per cell

# 10
Density functional theory data (PBE) for a relaxed structure of TiPO.

Lattice parameters (Å, degrees): 5.2310 5.2310 17.7765 90.00 90.00 120.00
Space group R3 (No. 146, hexagonal axes)
Asymmetric unit:
Ti 0.0000 0.0000 0.0000 (multiplicity 3)
Ti 0.0000 0.0000 0.2409 (multiplicity 3)
Ti 0.0000 0.0000 0.6852 (multiplicity 3)
P 0.1400 0.7725 0.7855 (multiplicity 9)
O 0.0076 0.3348 0.2880 (multiplicity 9)

Total moment: 0.0 μB/f.u.
Formation energy without anion corrections: -1678 meV/atom
VASP energy: -209.7 eV/cell
Density of states at the Fermi level: 10.996 states/eV per cell

# 11
Density functional theory data (PBE) for a relaxed structure of Pa3Tl3Te8Au.

Lattice parameters (Å, degrees): 14.356 9.252 9.323 90.00 117.88 90.00
Space group C2/m (No. 12)
Asymmetric unit:
Pa 0.000 0.000 0.000 (multiplicity 2)
Pa 0.250 0.250 0.000 (multiplicity 4)
Tl 0.000 0.500 0.500 (multiplicity 2)
Tl 0.250 0.250 0.500 (multiplicity 4)
Te 0.019 0.219 0.770 (multiplicity 8)
Te 0.211 0.500 0.192 (multiplicity 4)
Te 0.242 0.000 0.219 (multiplicity 4)
Au 0.000 0.500 0.000 (multiplicity 2)

Total moment: 3.0 μB/f.u.
Formation energy without anion corrections: -537 meV/atom
VASP energy: -144.1 eV/cell
Density of states at the Fermi level: 29.674 states/eV per cell

# 12
Density functional theory data (PBE) for a relaxed structure of BaPPt6.

Lattice parameters (Å, degrees): 6.1585 6.1585 14.6280 90.00 90.00 120.00
Space group R-3m (No. 166, hexagonal axes)
Asymmetric unit:
Ba 0.0000 0.0000 0.0000 (multiplicity 3)
P 0.0000 0.0000 0.5000 (multiplicity 3)
Pt 0.0385 0.5192 0.9103 (multiplicity 18)

Total moment: 0.0 μB/f.u.
Calculated formation energy: -0.34 eV/atom
VASP energy: -139.0 eV/cell
Density of states at the Fermi level: 11.688 states/eV per cell